[1]
ReNi4Sb | PBE | relaxed

Output
Its uncorrected formation energy is 138 kJ/mol of formula units. As for the total energy: -38.3 eV for the cell shown.

abc: 4.7800 4.7800 4.7800
angles: 60.00 60.00 60.00
Element x y z (fractional)
Re  0.0000  0.0000  0.0000
Ni  0.1217  0.6261  0.6261
Ni  0.6261  0.1217  0.6261
Ni  0.6261  0.6261  0.1217
Ni  0.6261  0.6261  0.6261
Sb  0.2500  0.2500  0.2500

[2]
Ce5UN8 | PBE | relaxed

Output
Its uncorrected formation energy is -1759 kJ/mol of formula units. As for the total energy: -125.8 eV for the cell shown.

abc: 6.4155 6.4155 6.4155
angles: 110.07 110.07 108.28
Element x y z (fractional)
Ce  0.0000  0.0000  0.0000
Ce  0.1200  0.2498  0.6208
Ce  0.5008  0.8800  0.1298
Ce  0.6290  0.4992  0.3792
Ce  0.7502  0.3710  0.8702
U  0.2500  0.7500  0.5000
N  0.2524  0.5191  0.1607
N  0.3584  0.0917  0.8393
N  0.3795  0.1272  0.3686
N  0.4809  0.6416  0.7333
N  0.7586  0.0109  0.6314
N  0.8728  0.2414  0.2523
N  0.9083  0.7476  0.2667
N  0.9891  0.6205  0.7477

[3]
AsPPb2 | PBE | relaxed

Output
The distance to the lowest polymorph of the same formula comes out at 31.2 meV per atom. As for the total energy: -16.8 eV for the cell shown. The energy relative to the elements is 0.17 eV/atom.

abc: 5.1915 4.5384 4.5384
angles: 81.54 90.00 90.00
Element x y z (fractional)
As  0.0000  0.0000  0.0000
P  0.5000  0.1989  0.1989
Pb  0.0000  0.4196  0.4196
Pb  0.5000  0.7790  0.7790

[4]
TlOsPb2 | PBE | relaxed

Output
The distance to the lowest polymorph of the same formula comes out at 449.4 meV per atom. As for the total energy: -34.7 eV for the cell shown. The energy relative to the elements is 0.92 eV/atom.

abc: 8.9637 8.9637 8.9637
angles: 139.82 139.82 58.13
Element x y z (fractional)
Tl  0.0000  0.0000  0.0000
Tl  0.7500  0.2500  0.5000
Os  0.2500  0.7500  0.5000
Os  0.5000  0.5000  0.0000
Pb  0.2504  0.6250  0.1254
Pb  0.3750  0.5004  0.6254
Pb  0.4996  0.1250  0.8746
Pb  0.8750  0.7496  0.3746